Entry 1:
! NaBiPdF6 GGA-PBE relaxed; values from VASP
&SYSTEM
  ibrav = 0, nat = 18, ntyp = 4
/
ATOMIC_SPECIES
F 19.00 F.upf
Na 22.99 Na.upf
Pd 106.42 Pd.upf
Bi 208.98 Bi.upf
ATOMIC_POSITIONS crystal
F 0.321 0.994 0.624
F 0.673 0.994 0.876
F 0.327 0.006 0.124
F 0.006 0.327 0.624
F 0.321 0.327 0.876
F 0.673 0.679 0.624
F 0.679 0.006 0.376
F 0.994 0.321 0.124
F 0.994 0.673 0.376
F 0.679 0.673 0.124
F 0.006 0.679 0.876
F 0.327 0.321 0.376
Na 0.667 0.333 0.750
Na 0.333 0.667 0.250
Pd 0.000 0.000 0.000
Pd 0.000 0.000 0.500
Bi 0.667 0.333 0.250
Bi 0.333 0.667 0.750
CELL_PARAMETERS angstrom
-5.363 -0.473 -2.385
4.041 -4.167 -0.991
-2.934 -4.632 7.515
! ΔE_f (raw): -2.0347 eV per atom
! Total energy: -4.437 eV/atom
! Mass density: 5.4 g/cm3

Entry 2:
! NaBiPt2F GGA-PBE relaxed; values from VASP
&SYSTEM
  ibrav = 0, nat = 5, ntyp = 4
/
ATOMIC_SPECIES
Pt 195.08 Pt.upf
Bi 208.98 Bi.upf
F 19.00 F.upf
Na 22.99 Na.upf
ATOMIC_POSITIONS crystal
Pt 0.500 0.000 0.000
Pt 0.000 0.000 0.500
Bi 0.500 0.500 0.500
F 0.000 0.500 0.000
Na 0.000 0.000 0.000
CELL_PARAMETERS angstrom
4.977 0.000 0.000
0.000 3.899 0.000
0.000 0.000 4.977
! ΔE_f (raw): 0.0812 eV per atom
! Total energy: -3.749 eV/atom
! Mass density: 11.0 g/cm3

Entry 3:
! Rb2NaBiF8 GGA-PBE relaxed; values from VASP
&SYSTEM
  ibrav = 0, nat = 12, ntyp = 4
/
ATOMIC_SPECIES
F 19.00 F.upf
Bi 208.98 Bi.upf
Na 22.99 Na.upf
Rb 85.47 Rb.upf
ATOMIC_POSITIONS crystal
F 0.902 0.201 0.821
F 0.370 0.236 0.500
F 0.604 0.809 0.000
F 0.902 0.200 0.179
F 0.098 0.800 0.821
F 0.098 0.799 0.179
F 0.396 0.191 0.000
F 0.630 0.764 0.500
Bi 0.000 0.000 0.000
Na 0.000 0.000 0.500
Rb 0.500 0.500 0.264
Rb 0.500 0.500 0.736
CELL_PARAMETERS angstrom
4.637 -0.342 -0.002
-0.344 6.329 -0.006
0.004 0.010 8.528
! ΔE_f (raw): -2.2938 eV per atom
! Total energy: -4.136 eV/atom
! Mass density: 3.7 g/cm3

Q: Among the records above, which one has the highest total energy?
A: NaBiPt2F

Copy entry 1 word for word.
! NaBiPdF6 GGA-PBE relaxed; values from VASP
&SYSTEM
  ibrav = 0, nat = 18, ntyp = 4
/
ATOMIC_SPECIES
F 19.00 F.upf
Na 22.99 Na.upf
Pd 106.42 Pd.upf
Bi 208.98 Bi.upf
ATOMIC_POSITIONS crystal
F 0.321 0.994 0.624
F 0.673 0.994 0.876
F 0.327 0.006 0.124
F 0.006 0.327 0.624
F 0.321 0.327 0.876
F 0.673 0.679 0.624
F 0.679 0.006 0.376
F 0.994 0.321 0.124
F 0.994 0.673 0.376
F 0.679 0.673 0.124
F 0.006 0.679 0.876
F 0.327 0.321 0.376
Na 0.667 0.333 0.750
Na 0.333 0.667 0.250
Pd 0.000 0.000 0.000
Pd 0.000 0.000 0.500
Bi 0.667 0.333 0.250
Bi 0.333 0.667 0.750
CELL_PARAMETERS angstrom
-5.363 -0.473 -2.385
4.041 -4.167 -0.991
-2.934 -4.632 7.515
! ΔE_f (raw): -2.0347 eV per atom
! Total energy: -4.437 eV/atom
! Mass density: 5.4 g/cm3

Q: What is the mass density in the first record?
A: 5.4 g/cm3

Q: mass density of number 1 (NaBiPdF6)?
A: 5.4 g/cm3